VASP calculation (PBE) on a relaxed structure of TmThMnOs.

Results
- Symmetry: F-43m (216)
- Formation energy: -57 meV per atom

Cell and atoms, written as CIF:
```
data_TmThMnOs
_symmetry_space_group_name_H-M 'P 1'
_symmetry_Int_Tables_number 1
_cell_length_a 4.9201
_cell_length_b 4.9201
_cell_length_c 4.9201
_cell_angle_alpha 60.00
_cell_angle_beta 60.00
_cell_angle_gamma 60.00
loop_
_symmetry_equiv_pos_as_xyz
'x,y,z'
loop_
_atom_site_label
_atom_site_type_symbol
_atom_site_fract_x
_atom_site_fract_y
_atom_site_fract_z
_atom_site_occupancy
Mn1 Mn 0.0000 0.0000 0.0000 1
Tm1 Tm 0.2500 0.2500 0.2500 1
Os1 Os 0.5000 0.5000 0.5000 1
Th1 Th 0.7500 0.7500 0.7500 1
```

VASP calculation (PBE) on a relaxed structure of Ti5Mn4Os.

Results
- Symmetry: P4/mmm (123)
- Formation energy: -339 meV per atom

Cell and atoms, written as CIF:
```
data_Ti5Mn4Os
_symmetry_space_group_name_H-M 'P 1'
_symmetry_Int_Tables_number 1
_cell_length_a 3.0171
_cell_length_b 3.0171
_cell_length_c 15.0552
_cell_angle_alpha 90.00
_cell_angle_beta 90.00
_cell_angle_gamma 90.00
loop_
_symmetry_equiv_pos_as_xyz
'x,y,z'
loop_
_atom_site_label
_atom_site_type_symbol
_atom_site_fract_x
_atom_site_fract_y
_atom_site_fract_z
_atom_site_occupancy
Ti1 Ti 0.5000 0.5000 0.1049 1
Ti2 Ti 0.5000 0.5000 0.3018 1
Ti3 Ti 0.5000 0.5000 0.5000 1
Ti4 Ti 0.5000 0.5000 0.6982 1
Ti5 Ti 0.5000 0.5000 0.8951 1
Mn1 Mn 0.0000 0.0000 0.2042 1
Mn2 Mn 0.0000 0.0000 0.4014 1
Mn3 Mn 0.0000 0.0000 0.5986 1
Mn4 Mn 0.0000 0.0000 0.7958 1
Os1 Os 0.0000 0.0000 0.0000 1
```

VASP calculation (PBE) on a relaxed structure of Ti5MnOs4.

Results
- Symmetry: P4/mmm (123)
- Formation energy: -628 meV per atom

Cell and atoms, written as CIF:
```
data_Ti5MnOs4
_symmetry_space_group_name_H-M 'P 1'
_symmetry_Int_Tables_number 1
_cell_length_a 3.0699
_cell_length_b 3.0699
_cell_length_c 15.3833
_cell_angle_alpha 90.00
_cell_angle_beta 90.00
_cell_angle_gamma 90.00
loop_
_symmetry_equiv_pos_as_xyz
'x,y,z'
loop_
_atom_site_label
_atom_site_type_symbol
_atom_site_fract_x
_atom_site_fract_y
_atom_site_fract_z
_atom_site_occupancy
Ti1 Ti 0.5000 0.5000 0.0941 1
Ti2 Ti 0.5000 0.5000 0.2967 1
Ti3 Ti 0.5000 0.5000 0.5000 1
Ti4 Ti 0.5000 0.5000 0.7033 1
Ti5 Ti 0.5000 0.5000 0.9059 1
Mn1 Mn 0.0000 0.0000 0.0000 1
Os1 Os 0.0000 0.0000 0.1969 1
Os2 Os 0.0000 0.0000 0.3991 1
Os3 Os 0.0000 0.0000 0.6009 1
Os4 Os 0.0000 0.0000 0.8031 1
```

VASP calculation (PBE) on a relaxed structure of TiMnOs.

Results
- Symmetry: Cmce (64)
- Formation energy: -110 meV per atom

Cell and atoms, written as CIF:
```
data_TiMnOs
_symmetry_space_group_name_H-M 'P 1'
_symmetry_Int_Tables_number 1
_cell_length_a 5.2733
_cell_length_b 5.0628
_cell_length_c 7.3003
_cell_angle_alpha 90.00
_cell_angle_beta 90.00
_cell_angle_gamma 121.39
loop_
_symmetry_equiv_pos_as_xyz
'x,y,z'
loop_
_atom_site_label
_atom_site_type_symbol
_atom_site_fract_x
_atom_site_fract_y
_atom_site_fract_z
_atom_site_occupancy
Mn1 Mn 0.6019 0.2039 0.5972 1
Mn2 Mn 0.8981 0.7961 0.0972 1
Mn3 Mn 0.3981 0.7961 0.4028 1
Mn4 Mn 0.1019 0.2039 0.9028 1
Os1 Os 0.3725 0.2451 0.2500 1
Os2 Os 0.1275 0.7549 0.7500 1
Os3 Os 0.6275 0.7549 0.7500 1
Os4 Os 0.8725 0.2451 0.2500 1
Ti1 Ti 0.8488 0.6976 0.4320 1
Ti2 Ti 0.6512 0.3024 0.9320 1
Ti3 Ti 0.1512 0.3024 0.5680 1
Ti4 Ti 0.3488 0.6976 0.0680 1
```

VASP calculation (PBE) on a relaxed structure of TiMnOs2.

Results
- Symmetry: I-42d (122)
- Formation energy: 460 meV per atom

Cell and atoms, written as CIF:
```
data_TiMnOs2
_symmetry_space_group_name_H-M 'P 1'
_symmetry_Int_Tables_number 1
_cell_length_a 7.1572
_cell_length_b 7.1572
_cell_length_c 5.6122
_cell_angle_alpha 50.38
_cell_angle_beta 50.38
_cell_angle_gamma 90.00
loop_
_symmetry_equiv_pos_as_xyz
'x,y,z'
loop_
_atom_site_label
_atom_site_type_symbol
_atom_site_fract_x
_atom_site_fract_y
_atom_site_fract_z
_atom_site_occupancy
Mn1 Mn 0.0000 0.0000 0.0000 1
Mn2 Mn 0.7500 0.2500 0.5000 1
Os1 Os 0.6841 0.1250 0.2500 1
Os2 Os 0.0659 0.6250 0.2500 1
Os3 Os 0.3750 0.3159 0.7500 1
Os4 Os 0.8750 0.9341 0.7500 1
Ti1 Ti 0.5000 0.5000 0.0000 1
Ti2 Ti 0.2500 0.7500 0.5000 1
```

VASP calculation (PBE) on a relaxed structure of Ti4MnOs.

Results
- Symmetry: R-3m (166)
- ΔE to the lowest computed polymorph: 340 meV/atom
- Formation energy: 37 meV per atom

Cell and atoms, written as CIF:
```
data_Ti4MnOs
_symmetry_space_group_name_H-M 'P 1'
_symmetry_Int_Tables_number 1
_cell_length_a 4.3774
_cell_length_b 4.3802
_cell_length_c 6.7640
_cell_angle_alpha 71.10
_cell_angle_beta 71.12
_cell_angle_gamma 60.02
loop_
_symmetry_equiv_pos_as_xyz
'x,y,z'
loop_
_atom_site_label
_atom_site_type_symbol
_atom_site_fract_x
_atom_site_fract_y
_atom_site_fract_z
_atom_site_occupancy
Ti1 Ti 0.6298 0.6299 0.1105 1
Ti2 Ti 0.3702 0.3701 0.8895 1
Ti3 Ti 0.1194 0.1194 0.6417 1
Ti4 Ti 0.8806 0.8806 0.3583 1
Mn1 Mn 0.0000 0.0000 0.0000 1
Os1 Os 0.5000 0.5000 0.5000 1
```